1.
This record from Alexandria via LeMat-Bulk describes a relaxed La2FePb crystal. The functional is GGA-PBEsol. Values from VASP.

Quantum ESPRESSO input file:
```
&SYSTEM
  ibrav = 0, nat = 4, ntyp = 3
/
ATOMIC_SPECIES
La 138.91 La.upf
Fe 55.84 Fe.upf
Pb 207.20 Pb.upf
CELL_PARAMETERS angstrom
3.848 0.000 0.000
0.000 2.487 5.465
0.000 -2.487 5.465
ATOMIC_POSITIONS angstrom
La 0.000 0.000 0.000
La 1.924 0.000 3.524
Fe 1.924 0.000 5.671
Pb 0.000 0.000 7.629
```

Properties
Its formation energy is -137 meV per atom. Its symmetry is No. 38. The calculation puts the polymorph energy (0 for the lowest one) at 0.0000 eV per atom.

***

2.
This record from Alexandria via LeMat-Bulk describes a relaxed LaFePt crystal. The functional is GGA-PBEsol. Values from VASP.

Quantum ESPRESSO input file:
```
&SYSTEM
  ibrav = 0, nat = 3, ntyp = 3
/
ATOMIC_SPECIES
La 138.91 La.upf
Fe 55.84 Fe.upf
Pt 195.08 Pt.upf
CELL_PARAMETERS angstrom
4.131 0.000 0.000
-2.065 3.578 0.000
0.000 0.000 4.208
ATOMIC_POSITIONS angstrom
La 0.000 0.000 0.000
Fe 0.000 2.385 2.104
Pt 2.065 1.193 2.104
```

Properties
Its formation energy is -418 meV per atom. Its symmetry is No. 187.

***

3.
This record from Alexandria via LeMat-Bulk describes a relaxed LaFePt crystal. The functional is GGA-PBEsol. Values from VASP.

Quantum ESPRESSO input file:
```
&SYSTEM
  ibrav = 0, nat = 3, ntyp = 3
/
ATOMIC_SPECIES
La 138.91 La.upf
Fe 55.84 Fe.upf
Pt 195.08 Pt.upf
CELL_PARAMETERS angstrom
0.000 3.271 3.271
3.271 0.000 3.271
3.271 3.271 0.000
ATOMIC_POSITIONS angstrom
La 0.000 0.000 0.000
Fe 4.906 4.906 4.906
Pt 1.635 1.635 1.635
```

Properties
Its formation energy is 564 meV per atom. Its symmetry is No. 216.

***

4.
This record from Alexandria via LeMat-Bulk describes a relaxed LaFe3Re crystal. The functional is GGA-PBEsol. Values from VASP.

Quantum ESPRESSO input file:
```
&SYSTEM
  ibrav = 0, nat = 5, ntyp = 3
/
ATOMIC_SPECIES
La 138.91 La.upf
Fe 55.84 Fe.upf
Re 186.21 Re.upf
CELL_PARAMETERS angstrom
4.474 0.000 0.000
0.000 4.474 0.000
0.000 0.000 4.474
ATOMIC_POSITIONS angstrom
La 0.000 0.000 0.000
Fe 0.000 2.237 2.237
Fe 2.237 0.000 2.237
Fe 2.237 2.237 0.000
Re 2.237 2.237 2.237
```

Properties
Its formation energy is 853 meV per atom. Its symmetry is No. 221. The calculation puts the polymorph energy (0 for the lowest one) at 0.0000 eV per atom.

***

5.
This record from Alexandria via LeMat-Bulk describes a relaxed LaFe3Re crystal. The functional is GGA-PBEsol. Values from VASP.

Quantum ESPRESSO input file:
```
&SYSTEM
  ibrav = 0, nat = 5, ntyp = 3
/
ATOMIC_SPECIES
La 138.91 La.upf
Fe 55.84 Fe.upf
Re 186.21 Re.upf
CELL_PARAMETERS angstrom
4.316 0.000 0.000
0.000 4.316 0.000
0.000 0.000 4.316
ATOMIC_POSITIONS angstrom
La 0.000 0.000 0.000
Fe 0.000 0.000 2.158
Fe 0.000 2.158 0.000
Fe 2.158 0.000 0.000
Re 2.158 2.158 2.158
```

Properties
Its formation energy is 2178 meV per atom. Its symmetry is No. 221. The calculation puts the polymorph energy (0 for the lowest one) at 1.3253 eV per atom.

***

6.
This record from Alexandria via LeMat-Bulk describes a relaxed LaFe2Re crystal. The functional is GGA-PBEsol. Values from VASP.

Quantum ESPRESSO input file:
```
&SYSTEM
  ibrav = 0, nat = 4, ntyp = 3
/
ATOMIC_SPECIES
La 138.91 La.upf
Fe 55.84 Fe.upf
Re 186.21 Re.upf
CELL_PARAMETERS angstrom
2.941 0.000 0.000
0.000 2.941 0.000
0.000 0.000 7.207
ATOMIC_POSITIONS angstrom
La 0.000 0.000 0.000
Fe 1.471 1.471 2.260
Fe 1.471 1.471 4.947
Re 0.000 0.000 3.603
```

Properties
Its formation energy is 276 meV per atom. Its symmetry is No. 123. The calculation puts the polymorph energy (0 for the lowest one) at 0.0000 eV per atom.

***

7.
This record from Alexandria via LeMat-Bulk describes a relaxed LaFeRe2 crystal. The functional is GGA-PBEsol. Values from VASP.

Quantum ESPRESSO input file:
```
&SYSTEM
  ibrav = 0, nat = 4, ntyp = 3
/
ATOMIC_SPECIES
La 138.91 La.upf
Fe 55.84 Fe.upf
Re 186.21 Re.upf
CELL_PARAMETERS angstrom
0.000 3.216 3.216
3.216 0.000 3.216
3.216 3.216 0.000
ATOMIC_POSITIONS angstrom
La 0.000 0.000 0.000
Fe 1.608 1.608 1.608
Re 3.216 3.216 3.216
Re 4.823 4.823 4.823
```

Properties
Its formation energy is 598 meV per atom. Its symmetry is No. 216.

***

8.
This record from Alexandria via LeMat-Bulk describes a relaxed LaFe2Re crystal. The functional is GGA-PBEsol. Values from VASP.

Quantum ESPRESSO input file:
```
&SYSTEM
  ibrav = 0, nat = 4, ntyp = 3
/
ATOMIC_SPECIES
La 138.91 La.upf
Fe 55.84 Fe.upf
Re 186.21 Re.upf
CELL_PARAMETERS angstrom
-2.087 2.385 3.224
2.087 -2.385 3.224
2.087 2.385 -3.224
ATOMIC_POSITIONS angstrom
La 0.000 0.000 0.000
Fe 2.087 0.000 1.785
Fe 0.000 2.385 1.438
Re 0.000 0.000 3.224
```

Properties
Its formation energy is 618 meV per atom. Its symmetry is No. 71. The calculation puts the polymorph energy (0 for the lowest one) at 0.3421 eV per atom.

***

9.
This record from Alexandria via LeMat-Bulk describes a relaxed LaFeRe crystal. The functional is GGA-PBEsol. Values from VASP.

Quantum ESPRESSO input file:
```
&SYSTEM
  ibrav = 0, nat = 3, ntyp = 3
/
ATOMIC_SPECIES
La 138.91 La.upf
Fe 55.84 Fe.upf
Re 186.21 Re.upf
CELL_PARAMETERS angstrom
0.000 3.099 3.099
3.099 0.000 3.099
3.099 3.099 0.000
ATOMIC_POSITIONS angstrom
La 0.000 0.000 0.000
Fe 4.648 4.648 4.648
Re 1.549 1.549 1.549
```

Properties
Its formation energy is 1782 meV per atom. Its symmetry is No. 216.

***

10.
This record from Alexandria via LeMat-Bulk describes a relaxed LaFeRh2 crystal. The functional is GGA-PBEsol. Values from VASP.

Quantum ESPRESSO input file:
```
&SYSTEM
  ibrav = 0, nat = 4, ntyp = 3
/
ATOMIC_SPECIES
La 138.91 La.upf
Fe 55.84 Fe.upf
Rh 102.91 Rh.upf
CELL_PARAMETERS angstrom
3.230 0.000 0.000
0.000 3.230 0.000
0.000 0.000 6.607
ATOMIC_POSITIONS angstrom
La 0.000 0.000 0.000
Fe 1.615 1.615 4.334
Rh 0.000 0.000 3.439
Rh 1.615 1.615 1.841
```

Properties
Its formation energy is 94 meV per atom. Its symmetry is No. 99. The calculation puts the polymorph energy (0 for the lowest one) at 0.1971 eV per atom.

***

11.
This record from Alexandria via LeMat-Bulk describes a relaxed LaFeRh2 crystal. The functional is GGA-PBEsol. Values from VASP.

Quantum ESPRESSO input file:
```
&SYSTEM
  ibrav = 0, nat = 4, ntyp = 3
/
ATOMIC_SPECIES
La 138.91 La.upf
Fe 55.84 Fe.upf
Rh 102.91 Rh.upf
CELL_PARAMETERS angstrom
3.082 0.000 0.000
0.000 3.082 0.000
0.000 0.000 7.051
ATOMIC_POSITIONS angstrom
La 0.000 0.000 0.000
Fe 0.000 0.000 3.525
Rh 1.541 1.541 2.150
Rh 1.541 1.541 4.900
```

Properties
Its formation energy is -104 meV per atom. Its symmetry is No. 123. The calculation puts the polymorph energy (0 for the lowest one) at 0.0000 eV per atom.

***

12.
This record from Alexandria via LeMat-Bulk describes a relaxed LaFe2Rh crystal. The functional is GGA-PBEsol. Values from VASP.

Quantum ESPRESSO input file:
```
&SYSTEM
  ibrav = 0, nat = 4, ntyp = 3
/
ATOMIC_SPECIES
La 138.91 La.upf
Fe 55.84 Fe.upf
Rh 102.91 Rh.upf
CELL_PARAMETERS angstrom
3.048 0.000 0.000
0.000 3.048 0.000
0.000 0.000 6.942
ATOMIC_POSITIONS angstrom
La 0.000 0.000 0.000
Fe 0.000 0.000 3.597
Fe 1.524 1.524 4.778
Rh 1.524 1.524 2.194
```

Properties
Its formation energy is 156 meV per atom. Its symmetry is No. 99.

***

13.
This record from Alexandria via LeMat-Bulk describes a relaxed La2FeRh crystal. The functional is GGA-PBEsol. Values from VASP.

Quantum ESPRESSO input file:
```
&SYSTEM
  ibrav = 0, nat = 4, ntyp = 3
/
ATOMIC_SPECIES
La 138.91 La.upf
Fe 55.84 Fe.upf
Rh 102.91 Rh.upf
CELL_PARAMETERS angstrom
3.976 0.000 0.000
0.000 2.041 5.576
0.000 -2.041 5.576
ATOMIC_POSITIONS angstrom
La 0.000 0.000 0.000
La 1.988 0.000 3.176
Fe 0.000 0.000 7.941
Rh 1.988 0.000 6.382
```

Properties
Its formation energy is -175 meV per atom. Its symmetry is No. 38. The calculation puts the polymorph energy (0 for the lowest one) at 0.0000 eV per atom.

***

14.
This record from Alexandria via LeMat-Bulk describes a relaxed La2FeRh crystal. The functional is GGA-PBEsol. Values from VASP.

Quantum ESPRESSO input file:
```
&SYSTEM
  ibrav = 0, nat = 4, ntyp = 3
/
ATOMIC_SPECIES
La 138.91 La.upf
Fe 55.84 Fe.upf
Rh 102.91 Rh.upf
CELL_PARAMETERS angstrom
0.000 3.502 3.502
3.502 0.000 3.502
3.502 3.502 0.000
ATOMIC_POSITIONS angstrom
La 1.751 1.751 1.751
La 5.252 5.252 5.252
Fe 0.000 0.000 0.000
Rh 3.502 3.502 3.502
```

Properties
Its formation energy is -59 meV per atom. Its symmetry is No. 225. The calculation puts the polymorph energy (0 for the lowest one) at 0.1160 eV per atom.

***

15.
This record from Alexandria via LeMat-Bulk describes a relaxed LaFeRh crystal. The functional is GGA-PBEsol. Values from VASP.

Quantum ESPRESSO input file:
```
&SYSTEM
  ibrav = 0, nat = 3, ntyp = 3
/
ATOMIC_SPECIES
La 138.91 La.upf
Fe 55.84 Fe.upf
Rh 102.91 Rh.upf
CELL_PARAMETERS angstrom
-1.597 1.597 5.428
1.597 -1.597 5.428
1.597 1.597 -5.428
ATOMIC_POSITIONS angstrom
La 0.000 0.000 0.000
Fe 0.000 0.000 3.223
Rh 0.000 0.000 7.574
```

Properties
Its formation energy is 62 meV per atom. Its symmetry is No. 107.

***

16.
This record from Alexandria via LeMat-Bulk describes a relaxed LaFeSi2Rh crystal. The functional is GGA-PBEsol. Values from VASP.

Quantum ESPRESSO input file:
```
&SYSTEM
  ibrav = 0, nat = 5, ntyp = 4
/
ATOMIC_SPECIES
La 138.91 La.upf
Fe 55.84 Fe.upf
Si 28.09 Si.upf
Rh 102.91 Rh.upf
CELL_PARAMETERS angstrom
-2.029 2.029 4.990
2.029 -2.029 4.990
2.029 2.029 -4.990
ATOMIC_POSITIONS angstrom
La 0.000 0.000 0.000
Fe 0.000 2.029 2.495
Si 0.000 0.000 3.648
Si 0.000 0.000 6.331
Rh 2.029 0.000 2.495
```

Properties
Its symmetry is No. 119. For the formation energy from raw total energies, the calculation gives -886 meV per atom.

***

17.
This record from Alexandria via LeMat-Bulk describes a relaxed LaFeRu crystal. The functional is GGA-PBEsol. Values from VASP.

Quantum ESPRESSO input file:
```
&SYSTEM
  ibrav = 0, nat = 3, ntyp = 3
/
ATOMIC_SPECIES
La 138.91 La.upf
Fe 55.84 Fe.upf
Ru 101.07 Ru.upf
CELL_PARAMETERS angstrom
-1.427 1.785 5.188
1.427 -1.785 5.188
1.427 1.785 -5.188
ATOMIC_POSITIONS angstrom
La 0.000 0.000 0.000
Fe 0.000 0.000 3.031
Ru 0.000 0.000 7.428
```

Properties
Its formation energy is 311 meV per atom. Its symmetry is No. 44.

***

18.
This record from Alexandria via LeMat-Bulk describes a relaxed LaFe2Ru crystal. The functional is GGA-PBEsol. Values from VASP.

Quantum ESPRESSO input file:
```
&SYSTEM
  ibrav = 0, nat = 4, ntyp = 3
/
ATOMIC_SPECIES
La 138.91 La.upf
Fe 55.84 Fe.upf
Ru 101.07 Ru.upf
CELL_PARAMETERS angstrom
-1.552 2.334 4.367
1.552 -2.334 4.367
1.552 2.334 -4.367
ATOMIC_POSITIONS angstrom
La 0.000 0.000 0.000
Fe 0.000 0.000 4.478
Fe 0.000 2.334 2.007
Ru 1.552 0.000 2.337
```

Properties
Its formation energy is 487 meV per atom. Its symmetry is No. 44.

***

19.
This record from Alexandria via LeMat-Bulk describes a relaxed LaFeRu crystal. The functional is GGA-PBEsol. Values from VASP.

Quantum ESPRESSO input file:
```
&SYSTEM
  ibrav = 0, nat = 3, ntyp = 3
/
ATOMIC_SPECIES
La 138.91 La.upf
Fe 55.84 Fe.upf
Ru 101.07 Ru.upf
CELL_PARAMETERS angstrom
0.000 3.131 3.131
3.131 0.000 3.131
3.131 3.131 0.000
ATOMIC_POSITIONS angstrom
La 0.000 0.000 0.000
Fe 3.131 3.131 3.131
Ru 1.565 1.565 1.565
```

Properties
Its formation energy is 507 meV per atom. Its symmetry is No. 216.

***

20.
This record from Alexandria via LeMat-Bulk describes a relaxed LaFe2Ru crystal. The functional is GGA-PBEsol. Values from VASP.

Quantum ESPRESSO input file:
```
&SYSTEM
  ibrav = 0, nat = 4, ntyp = 3
/
ATOMIC_SPECIES
La 138.91 La.upf
Fe 55.84 Fe.upf
Ru 101.07 Ru.upf
CELL_PARAMETERS angstrom
3.000 0.000 0.000
0.000 3.000 0.000
0.000 0.000 7.076
ATOMIC_POSITIONS angstrom
La 0.000 0.000 0.000
Fe 0.000 0.000 3.641
Fe 1.500 1.500 4.861
Ru 1.500 1.500 2.345
```

Properties
Its formation energy is 317 meV per atom. Its symmetry is No. 99.